TlReSi2Ir: relaxed, GGA-PBE.

E_form (uncorrected) = 1.224 eV/atom
crystal system = tetragonal

a b c (Å): 4.5756 5.3298 4.5756
angles (deg): 90.00 90.00 90.00
Atoms (fractional coordinates):
Si1 0.0000 0.0000 0.5000
Si2 0.5000 0.0000 0.0000
Ir1 0.5000 0.5000 0.5000
Re1 0.0000 0.0000 0.0000
Tl1 0.0000 0.5000 0.0000



Tl2ReSiIr: relaxed, GGA-PBE.

E_form (uncorrected) = 1.266 eV/atom
crystal system = tetragonal

a b c (Å): 5.2945 4.5268 5.2945
angles (deg): 90.00 90.00 90.00
Atoms (fractional coordinates):
Re1 0.5000 0.5000 0.5000
Si1 0.0000 0.5000 0.0000
Ir1 0.0000 0.0000 0.0000
Tl1 0.0000 0.0000 0.5000
Tl2 0.5000 0.0000 0.0000



VReSiIr: relaxed, GGA-PBE.

E_form (uncorrected) = -0.371 eV/atom
crystal system = cubic

a b c (Å): 4.2534 4.2534 4.2534
angles (deg): 60.00 60.00 60.00
Atoms (fractional coordinates):
V1 0.5000 0.5000 0.5000
Si1 0.0000 0.0000 0.0000
Ir1 0.7500 0.7500 0.7500
Re1 0.2500 0.2500 0.2500



YReSi2Ir: relaxed, GGA-PBE.

E_form (uncorrected) = -0.777 eV/atom
crystal system = tetragonal

a b c (Å): 4.2002 4.2002 5.6844
angles (deg): 111.68 111.68 90.00
Atoms (fractional coordinates):
Si1 0.3729 0.3729 0.7459
Si2 0.6271 0.6271 0.2541
Re1 0.7500 0.2500 0.5000
Ir1 0.2500 0.7500 0.5000
Y1 0.0000 0.0000 0.0000



ReSn3Ir: relaxed, GGA-PBE.

crystal system = cubic
ΔE_f = 1083 meV per atom

a b c (Å): 5.1197 5.1197 5.1197
angles (deg): 90.00 90.00 90.00
Atoms (fractional coordinates):
Sn1 0.0000 0.0000 0.5000
Sn2 0.5000 0.0000 0.0000
Sn3 0.0000 0.5000 0.0000
Re1 0.0000 0.0000 0.0000
Ir1 0.5000 0.5000 0.5000



ReSn3Ir: relaxed, GGA-PBE.

crystal system = cubic
ΔE_f = 1152 meV per atom

a b c (Å): 5.0795 5.0795 5.0795
angles (deg): 90.00 90.00 90.00
Atoms (fractional coordinates):
Re1 0.5000 0.5000 0.5000
Sn1 0.5000 0.0000 0.0000
Sn2 0.0000 0.5000 0.0000
Sn3 0.0000 0.0000 0.5000
Ir1 0.0000 0.0000 0.0000



Re2SnIr: relaxed, GGA-PBE.

crystal system = tetragonal
ΔE_f = 1371 meV per atom

a b c (Å): 5.9010 5.9010 7.0471
angles (deg): 65.25 65.25 90.00
Atoms (fractional coordinates):
Re1 0.0868 0.6250 0.2500
Re2 0.6632 0.1250 0.2500
Re3 0.8750 0.9132 0.7500
Re4 0.3750 0.3368 0.7500
Sn1 0.2500 0.7500 0.5000
Sn2 0.5000 0.5000 0.0000
Ir1 0.7500 0.2500 0.5000
Ir2 0.0000 0.0000 0.0000



SrRe2SnIr: relaxed, GGA-PBE.

crystal system = tetragonal
ΔE_f = 1782 meV per atom

a b c (Å): 5.0012 4.9638 5.0012
angles (deg): 90.00 90.00 90.00
Atoms (fractional coordinates):
Ir1 0.0000 0.5000 0.0000
Sr1 0.5000 0.5000 0.5000
Re1 0.5000 0.0000 0.0000
Re2 0.0000 0.0000 0.5000
Sn1 0.0000 0.0000 0.0000



Theoretical density
In order: 9.51 10.67 13.96 10.17 9.09 9.31 11.48 10.31
Unit: Mg/m³
E
In order: -5.680 -5.027 -9.334 -8.501 -5.580 -5.511 -8.069 -6.106
Unit: eV/atom